DFT (GGA-PBE) results for an optimized crystal structure of ScCoSi2.

abc: 3.836 3.836 5.126
angles: 112.07 112.07 60.08
Fractional coordinates of all 4 atoms:
Sc  0.000  0.000  0.000
Co  0.500  0.500  0.500
Si  0.213  0.213  0.639
Si  0.787  0.787  0.361

Raw total energy, eV/cell: -27.09
Symmetry: C2/m (12)
Size of the total moment, μB/atom: 0.000
ΔE_f (raw), eV per formula unit: -2.81



DFT (GGA-PBE) results for an optimized crystal structure of Ce6Pt2C.

abc: 6.295 7.184 11.665
angles: 90.00 120.79 90.00
Fractional coordinates of all 18 atoms:
Ce  0.106  0.031  0.238
Ce  0.106  0.469  0.738
Ce  0.213  0.689  0.053
Ce  0.213  0.811  0.553
Ce  0.385  0.169  0.054
Ce  0.385  0.331  0.554
Ce  0.615  0.669  0.446
Ce  0.615  0.831  0.946
Ce  0.787  0.189  0.447
Ce  0.787  0.311  0.947
Ce  0.894  0.531  0.262
Ce  0.894  0.969  0.762
Pt  0.326  0.112  0.749
Pt  0.326  0.388  0.249
Pt  0.674  0.612  0.751
Pt  0.674  0.888  0.251
C  0.000  0.000  0.000
C  0.000  0.500  0.500

Raw total energy, eV/cell: -123.07
Energy relative to the elements, eV per atom: -0.5139
Symmetry: P2_1/c (14)
Size of the total moment, μB/atom: 0.484



DFT (GGA-PBE) results for an optimized crystal structure of ZrTaNb4.

abc: 5.494 5.494 5.494
angles: 60.00 60.00 60.00
Fractional coordinates of all 6 atoms:
Zr  0.000  0.000  0.000
Ta  0.750  0.750  0.750
Nb  0.375  0.375  0.375
Nb  0.375  0.375  0.875
Nb  0.375  0.875  0.375
Nb  0.875  0.375  0.375

Raw total energy, eV/cell: -60.15
Energy relative to the elements, eV per atom: 0.0891
Symmetry: F-43m (216)
Size of the total moment, μB/atom: 0.000
Energy relative to the lowest polymorph listed for this composition, eV per atom: 0.065



Q: What is the formula in the third record?
A: ZrTaNb4